(1)
VASP calculation (GGA+U) on crystalline LiMnP4O12 at its relaxed geometry.

a b c (Å): 5.2817 6.9860 7.6403
angles (deg): 99.27 102.06 108.73
With the nearest neighbours (Å) after each atom.
Sites, in units of the cell vectors:
Li  0.0000  0.0000  0.0000  2 O 1.86-1.95
Mn  0.3667  0.9895  0.3834  4 O 1.93-1.98
P  0.0157  0.2836  0.5133  4 O 1.49-1.61
P  0.0498  0.7180  0.6242  4 O 1.47-1.63
P  0.6884  0.2617  0.1389  4 O 1.48-1.61
P  0.7126  0.6944  0.2509  4 O 1.49-1.61
O  0.0124  0.8283  0.7918  1 P 1.47
O  0.0573  0.4959  0.6528  2 P 1.60-1.61
O  0.2752  0.2372  0.5489  1 P 1.49
O  0.2985  0.8162  0.5540  1 P 1.52
O  0.4252  0.1520  0.1951  1 P 1.54
O  0.4539  0.7407  0.2089  1 P 1.49
O  0.6706  0.4809  0.1105  2 P 1.61
O  0.7466  0.1515  0.9794  1 P 1.48
O  0.7557  0.1141  0.5219  1 P 1.52
O  0.7713  0.6488  0.4512  2 P 1.60-1.63
O  0.9579  0.3380  0.3153  2 P 1.61
O  0.9728  0.8617  0.2330  1 P 1.54

Output
E above lowest polymorph in meV per atom: 0
Crystal system: triclinic


(2)
VASP calculation (GGA+U) on crystalline LiMn2P3O12 at its relaxed geometry.

a b c (Å): 8.4539 8.4539 8.4539
angles (deg): 59.98 59.98 59.98
With the nearest neighbours (Å) after each atom.
Sites, in units of the cell vectors:
Li  0.0000  0.0000  0.0000  6 O 2.20
Li  0.5000  0.5000  0.5000  6 O 2.20
Mn  0.1400  0.1400  0.1400  6 O 1.89-1.94
Mn  0.3600  0.3600  0.3600  6 O 1.89-1.94
Mn  0.6400  0.6400  0.6400  6 O 1.89-1.94
Mn  0.8600  0.8600  0.8600  6 O 1.89-1.94
P  0.0379  0.7500  0.4621  4 O 1.53-1.56
P  0.2500  0.5379  0.9621  4 O 1.53-1.56
P  0.4621  0.0379  0.7500  4 O 1.53-1.56
P  0.5379  0.9621  0.2500  4 O 1.53-1.56
P  0.7500  0.4621  0.0379  4 O 1.53-1.56
P  0.9621  0.2500  0.5379  4 O 1.53-1.56
O  0.0077  0.8035  0.6260  1 P 1.53
O  0.0530  0.9195  0.2651  1 P 1.56
O  0.0805  0.7349  0.9470  1 P 1.56
O  0.1260  0.3035  0.5077  1 P 1.53
O  0.1965  0.3740  0.9923  1 P 1.53
O  0.2349  0.5805  0.4470  1 P 1.56
O  0.2651  0.0530  0.9195  1 P 1.56
O  0.3035  0.5077  0.1260  1 P 1.53
O  0.3740  0.9923  0.1965  1 P 1.53
O  0.4195  0.5530  0.7651  1 P 1.56
O  0.4470  0.2349  0.5805  1 P 1.56
O  0.4923  0.8740  0.6965  1 P 1.53
O  0.5077  0.1260  0.3035  1 P 1.53
O  0.5530  0.7651  0.4195  1 P 1.56
O  0.5805  0.4470  0.2349  1 P 1.56
O  0.6260  0.0077  0.8035  1 P 1.53
O  0.6965  0.4923  0.8740  1 P 1.53
O  0.7349  0.9470  0.0805  1 P 1.56
O  0.7651  0.4195  0.5530  1 P 1.56
O  0.8035  0.6260  0.0077  1 P 1.53
O  0.8740  0.6965  0.4923  1 P 1.53
O  0.9195  0.2651  0.0530  1 P 1.56
O  0.9470  0.0805  0.7349  1 P 1.56
O  0.9923  0.1965  0.3740  1 P 1.53

Output
E above lowest polymorph in meV per atom: 0
Crystal system: trigonal


(3)
VASP calculation (GGA+U) on crystalline Li2MnP2O8 at its relaxed geometry.

a b c (Å): 5.0353 7.8514 8.8221
angles (deg): 90.00 120.88 90.00
With the nearest neighbours (Å) after each atom.
Sites, in units of the cell vectors:
Li  0.0092  0.1333  0.4089  3 O 1.84-2.03
Li  0.0092  0.3667  0.9089  3 O 1.84-2.03
Li  0.9908  0.6333  0.0911  3 O 1.84-2.03
Li  0.9908  0.8667  0.5911  3 O 1.84-2.03
Mn  0.0000  0.0000  0.0000  6 O 1.95-2.12
Mn  0.0000  0.5000  0.5000  6 O 1.95-2.12
P  0.3413  0.1890  0.8037  4 O 1.50-1.57
P  0.3413  0.3110  0.3037  4 O 1.50-1.57
P  0.6587  0.6890  0.6963  4 O 1.50-1.57
P  0.6587  0.8110  0.1963  4 O 1.50-1.57
O  0.2064  0.1262  0.2467  1 P 1.57
O  0.2064  0.3738  0.7467  1 P 1.57
O  0.2120  0.0673  0.6519  1 P 1.50
O  0.2120  0.4327  0.1519  1 P 1.50
O  0.2646  0.1406  0.9504  1 P 1.57
O  0.2646  0.3594  0.4504  1 P 1.57
O  0.2958  0.6937  0.5988  1 P 1.57
O  0.2958  0.8063  0.0988  1 P 1.57
O  0.7042  0.1937  0.9012  1 P 1.57
O  0.7042  0.3063  0.4012  1 P 1.57
O  0.7354  0.6406  0.5496  1 P 1.57
O  0.7354  0.8594  0.0496  1 P 1.57
O  0.7880  0.5673  0.8481  1 P 1.50
O  0.7880  0.9327  0.3481  1 P 1.50
O  0.7936  0.6262  0.2533  1 P 1.57
O  0.7936  0.8738  0.7533  1 P 1.57

Output
E above lowest polymorph in meV per atom: 18
Density of states at the Fermi level in states/eV per cell: 3.18
Crystal system: monoclinic


E above lowest polymorph of number 2 (LiMn2P3O12)?
0 meV per atom